(1)
# Rb2LiHf2 PBE-GGA optimized geometry
data_Rb2LiHf2
_cell_length_a 4.454
_cell_length_b 4.454
_cell_length_c 17.847
_cell_angle_alpha 90.00
_cell_angle_beta 90.00
_cell_angle_gamma 90.00
_symmetry_space_group_name_H-M 'I 4/m m m'
_symmetry_Int_Tables_number 139
_symmetry_space_group_name_Hall '-I 4 2'
loop_
_atom_site_label
_atom_site_fract_x
_atom_site_fract_y
_atom_site_fract_z
Rb1 0.000 0.500 0.250
Li1 0.000 0.000 0.000
Hf1 0.000 0.000 0.428
# ΔH_f (0 K)   1.461 eV/atom
# Total moment   0.9 μB per formula unit
# DOS at the Fermi energy   6.064 states/eV/f.u.
# E_tot   -3.29 eV/atom
# Energy above the lowest structure with this stoichiometry   0.246 eV/atom
# Crystal system   tetragonal

=====

(2)
# La3YEr12 PBE-GGA optimized geometry
data_La3YEr12
_cell_length_a 5.033
_cell_length_b 5.033
_cell_length_c 20.152
_cell_angle_alpha 90.00
_cell_angle_beta 90.00
_cell_angle_gamma 90.00
_symmetry_space_group_name_H-M 'P 4/m m m'
_symmetry_Int_Tables_number 123
_symmetry_space_group_name_Hall '-P 4 2'
loop_
_atom_site_label
_atom_site_fract_x
_atom_site_fract_y
_atom_site_fract_z
La1 0.000 0.000 0.000
La2 0.000 0.000 0.250
Y1 0.000 0.000 0.500
Er1 0.000 0.500 0.126
Er2 0.000 0.500 0.377
Er3 0.500 0.500 0.000
Er4 0.500 0.500 0.252
Er5 0.500 0.500 0.500
# ΔH_f (0 K)   0.036 eV/atom
# Total moment   0.0 μB per formula unit
# DOS at the Fermi energy   24.822 states/eV/f.u.
# E_tot   -4.71 eV/atom
# Crystal system   tetragonal

=====

(3)
# K2ScPt PBE-GGA optimized geometry
data_K2ScPt
_cell_length_a 3.2643
_cell_length_b 3.2643
_cell_length_c 36.4813
_cell_angle_alpha 90.00
_cell_angle_beta 90.00
_cell_angle_gamma 120.00
_symmetry_space_group_name_H-M 'R -3 m'
_symmetry_Int_Tables_number 166
_symmetry_space_group_name_Hall '-R 3 2"'
loop_
_atom_site_label
_atom_site_fract_x
_atom_site_fract_y
_atom_site_fract_z
K1 0.0000 0.0000 0.2363
Sc1 0.0000 0.0000 0.0000
Pt1 0.0000 0.0000 0.5000
# ΔH_f (0 K)   0.496 eV/atom
# Total moment   0.5 μB per formula unit
# DOS at the Fermi energy   3.848 states/eV/f.u.
# E_tot   -3.15 eV/atom
# Energy above the lowest structure with this stoichiometry   0.759 eV/atom
# Crystal system   trigonal

=====

(4)
# LiTc2Ni PBE-GGA optimized geometry
data_LiTc2Ni
_cell_length_a 2.546
_cell_length_b 4.217
_cell_length_c 4.886
_cell_angle_alpha 90.00
_cell_angle_beta 97.07
_cell_angle_gamma 90.00
_symmetry_space_group_name_H-M 'P 1 m 1'
_symmetry_Int_Tables_number 6
loop_
_symmetry_equiv_pos_as_xyz
'x,y,z'
'x,-y,z'
loop_
_atom_site_label
_atom_site_fract_x
_atom_site_fract_y
_atom_site_fract_z
Li1 0.000 0.000 0.000
Tc1 0.352 0.500 0.748
Tc2 0.545 0.000 0.496
Ni1 0.950 0.500 0.226
# ΔH_f (0 K)   0.115 eV/atom
# Total moment   0.0 μB per formula unit
# DOS at the Fermi energy   3.274 states/eV/f.u.
# E_tot   -6.99 eV/atom
# Energy above the lowest structure with this stoichiometry   0.006 eV/atom
# Crystal system   monoclinic

=====

(5)
# MoRhW PBE-GGA optimized geometry
data_MoRhW
_cell_length_a 8.810
_cell_length_b 3.980
_cell_length_c 5.550
_cell_angle_alpha 90.00
_cell_angle_beta 108.46
_cell_angle_gamma 90.00
_symmetry_space_group_name_H-M 'C 1 m 1'
_symmetry_Int_Tables_number 8
loop_
_symmetry_equiv_pos_as_xyz
'x,y,z'
'x,-y,z'
'x+1/2,y+1/2,z'
'x+1/2,-y+1/2,z'
loop_
_atom_site_label
_atom_site_fract_x
_atom_site_fract_y
_atom_site_fract_z
Mo1 0.000 0.000 0.000
Mo2 0.170 0.500 0.831
Rh1 0.169 0.500 0.338
Rh2 0.332 0.000 0.664
W1 0.001 0.000 0.500
W2 0.331 0.000 0.171
# ΔH_f (0 K)   0.021 eV/atom
# Total moment   0.0 μB per formula unit
# DOS at the Fermi energy   3.193 states/eV/f.u.
# E_tot   -10.36 eV/atom
# Energy above the lowest structure with this stoichiometry   0.080 eV/atom
# Crystal system   monoclinic

=====

(6)
# ZnCoAg2 PBE-GGA optimized geometry
data_ZnCoAg2
_cell_length_a 3.774
_cell_length_b 3.774
_cell_length_c 18.823
_cell_angle_alpha 90.00
_cell_angle_beta 90.00
_cell_angle_gamma 90.00
_symmetry_space_group_name_H-M 'I -4 2 d'
_symmetry_Int_Tables_number 122
_symmetry_space_group_name_Hall 'I -4 2bw'
loop_
_atom_site_label
_atom_site_fract_x
_atom_site_fract_y
_atom_site_fract_z
Zn1 0.000 0.000 0.000
Co1 0.000 0.000 0.500
Ag1 0.249 0.250 0.625
# ΔH_f (0 K)   0.470 eV/atom
# Total moment   1.4 μB per formula unit
# DOS at the Fermi energy   2.784 states/eV/f.u.
# E_tot   -3.05 eV/atom
# Crystal system   tetragonal

=====

(7)
# HoEr2Hg2 PBE-GGA optimized geometry
data_HoEr2Hg2
_cell_length_a 3.720
_cell_length_b 5.249
_cell_length_c 13.620
_cell_angle_alpha 90.00
_cell_angle_beta 97.91
_cell_angle_gamma 90.00
_symmetry_space_group_name_H-M 'P 1 21/m 1'
_symmetry_Int_Tables_number 11
loop_
_symmetry_equiv_pos_as_xyz
'x,y,z'
'-x,-y,-z'
'-x,y+1/2,-z'
'x,-y+1/2,z'
loop_
_atom_site_label
_atom_site_fract_x
_atom_site_fract_y
_atom_site_fract_z
Ho1 0.147 0.250 0.293
Er1 0.047 0.750 0.095
Er2 0.236 0.750 0.472
Hg1 0.356 0.250 0.711
Hg2 0.453 0.750 0.905
# ΔH_f (0 K)   -0.386 eV/atom
# Total moment   0.0 μB per formula unit
# DOS at the Fermi energy   4.172 states/eV/f.u.
# E_tot   -3.25 eV/atom
# Energy above the lowest structure with this stoichiometry   0.000 eV/atom
# Crystal system   monoclinic